(1)
Material: Pm12Ni6Pd
Method: DFT, PBE-GGA
State: optimized geometry

The structure belongs to space group R-3 (No. 148, hexagonal axes); the cell edges are 12.4964, 12.4964 and 11.8273 Å and the angles 90.00°, 90.00° and 120.00°. The asymmetric unit holds Pm at (0.0238, 0.8168, 0.3885), Pm at (0.0279, 0.8192, 0.8809), Ni at (0.0403, 0.7802, 0.6494) and Pd at (0.0000, 0.0000, 0.0000).

As for the calculated volume: 1600 Å³ per cell. The value obtained for the electronic total energy is -299.69 eV for the cell shown. The energy of formation comes out at -0.158 eV/atom. The calculation puts the total magnetic moment at 0.0 μB/f.u. The density of states at the Fermi level is 68.98 states/eV/cell.

(2)
Material: Pm4Ni3Pd
Method: DFT, PBE-GGA
State: optimized geometry

The structure belongs to space group Pmm2 (No. 25); the cell edges are 3.811, 4.434 and 10.528 Å and the angles 90.00°, 90.00° and 90.00°. The asymmetric unit holds Pm at (0.000, 0.000, 0.000), Pm at (0.000, 0.500, 0.268), Pm at (0.500, 0.000, 0.486), Pm at (0.500, 0.500, 0.771), Ni at (0.000, 0.500, 0.549), Ni at (0.500, 0.000, 0.204), Ni at (0.500, 0.500, 0.060) and Pd at (0.000, 0.000, 0.709).

As for the calculated volume: 178 Å³ per cell. The value obtained for the electronic total energy is -45.23 eV for the cell shown. The energy of formation comes out at -0.461 eV/atom. The calculation puts the total magnetic moment at 0.0 μB/f.u. The density of states at the Fermi level is 4.08 states/eV/cell.